1.
! Sm4Dy3Y4 | Alexandria via LeMat-Bulk | PBE-GGA | optimized geometry; values from VASP
! * space group: Immm (71)
! * E_form: 0.13 eV/atom
! * ΔE to the lowest computed polymorph: 74.2 meV per atom
&SYSTEM
  ibrav = 0, nat = 11, ntyp = 3
/
ATOMIC_SPECIES
Dy 162.50 Dy.upf
Sm 150.36 Sm.upf
Y 88.91 Y.upf
CELL_PARAMETERS angstrom
3.5381 0.0000 -0.6517
-0.8385 8.0868 -4.5522
0.3859 1.4407 12.0246
ATOMIC_POSITIONS crystal
Dy 0.1088 0.1088 0.2177
Sm 0.3573 0.5361 0.7147
Sm 0.6427 0.8214 0.2853
Sm 0.3573 0.1786 0.7147
Dy 0.8912 0.8912 0.7823
Dy 0.0000 0.5000 0.0000
Sm 0.6427 0.4639 0.2853
Y 0.5000 0.1822 0.0000
Y 0.7419 0.2419 0.4839
Y 0.2581 0.7581 0.5161
Y 0.5000 0.8178 0.0000

***

2.
! La2Th2Ag | Alexandria via LeMat-Bulk | PBE-GGA | optimized geometry; values from VASP
! * space group: I4/mmm (139)
! * E_form: -0.09 eV/atom
&SYSTEM
  ibrav = 0, nat = 5, ntyp = 3
/
ATOMIC_SPECIES
Th 232.04 Th.upf
La 138.91 La.upf
Ag 107.87 Ag.upf
CELL_PARAMETERS angstrom
3.6057 0.0000 -0.5785
-0.0928 3.6045 -0.5785
0.0641 0.0657 11.9248
ATOMIC_POSITIONS crystal
Th 0.1993 0.1993 0.3986
La 0.4109 0.4109 0.8218
Ag 0.0000 0.0000 0.0000
La 0.5891 0.5891 0.1782
Th 0.8007 0.8007 0.6014

***

3.
! Ca2MnBr6 | Alexandria via LeMat-Bulk | PBE-GGA | optimized geometry; values from VASP
! * space group: C2/m (12)
! * formation energy from raw total energies: -155.5 kJ per mole of atoms
&SYSTEM
  ibrav = 0, nat = 9, ntyp = 3
/
ATOMIC_SPECIES
Br 79.90 Br.upf
Ca 40.08 Ca.upf
Mn 54.94 Mn.upf
CELL_PARAMETERS angstrom
-0.6091 -3.5056 -2.1303
1.0449 -2.2847 7.4977
-10.1489 2.5964 -1.3711
ATOMIC_POSITIONS crystal
Br 0.0248 0.0497 0.7642
Ca 0.3337 0.6675 0.1754
Br 0.3074 0.6149 0.8867
Ca 0.6663 0.3326 0.8246
Br 0.9752 0.9503 0.2358
Br 0.3739 0.7478 0.4638
Br 0.6261 0.2522 0.5362
Mn 0.0000 0.0000 0.5000
Br 0.6925 0.3851 0.1133

***

4.
! Ca4As | Alexandria via LeMat-Bulk | PBE-GGA | optimized geometry; values from VASP
! * space group: I4/mmm (139)
! * E_form: 0.04 eV/atom
! * ΔE to the lowest computed polymorph: 512.0 meV per atom
&SYSTEM
  ibrav = 0, nat = 5, ntyp = 2
/
ATOMIC_SPECIES
Ca 40.08 Ca.upf
As 74.92 As.upf
CELL_PARAMETERS angstrom
-2.1448 2.1448 9.5856
2.1448 -2.1448 9.5856
2.1448 2.1448 -9.5856
ATOMIC_POSITIONS crystal
Ca 0.5793 0.5793 0.0000
As 0.0000 0.0000 0.0000
Ca 0.2500 0.7500 0.5000
Ca 0.7500 0.2500 0.5000
Ca 0.4207 0.4207 0.0000

***

5.
! Pm2GaSb | Alexandria via LeMat-Bulk | PBE-GGA | optimized geometry; values from VASP
! * space group: P4/mmm (123)
! * ΔE to the lowest computed polymorph: 131.1 meV per atom
! * formation energy from raw total energies: -69.8 kJ per mole of atoms
&SYSTEM
  ibrav = 0, nat = 4, ntyp = 3
/
ATOMIC_SPECIES
Sb 121.76 Sb.upf
Pm 145.00 Pm.upf
Ga 69.72 Ga.upf
CELL_PARAMETERS angstrom
-0.1817 2.8454 -2.7804
-3.6702 0.9541 1.2162
2.6158 4.4611 4.3944
ATOMIC_POSITIONS crystal
Sb 0.5000 0.5000 0.0000
Pm 0.0000 0.0000 0.2495
Pm 0.0000 0.0000 0.7505
Ga 0.5000 0.5000 0.5000

***

6.
! PmSmYAl | Alexandria via LeMat-Bulk | PBE-GGA | optimized geometry; values from VASP
! * space group: F-43m (216)
! * E_form: -0.02 eV/atom
! * ΔE to the lowest computed polymorph: 164.3 meV per atom
&SYSTEM
  ibrav = 0, nat = 4, ntyp = 4
/
ATOMIC_SPECIES
Al 26.98 Al.upf
Y 88.91 Y.upf
Sm 150.36 Sm.upf
Pm 145.00 Pm.upf
CELL_PARAMETERS angstrom
-0.9704 2.6542 -4.6444
-4.9519 2.0093 -0.9990
-0.8156 5.3747 0.0601
ATOMIC_POSITIONS crystal
Al 0.7500 0.7500 0.7500
Y 0.5000 0.5000 0.5000
Sm 0.0000 0.0000 0.0000
Pm 0.2500 0.2500 0.2500

***

7.
! PrDyTmZn | Alexandria via LeMat-Bulk | PBE-GGA | optimized geometry; values from VASP
! * space group: F-43m (216)
! * E_form: 0.03 eV/atom
! * ΔE to the lowest computed polymorph: 192.3 meV per atom
&SYSTEM
  ibrav = 0, nat = 4, ntyp = 4
/
ATOMIC_SPECIES
Zn 65.41 Zn.upf
Pr 140.91 Pr.upf
Dy 162.50 Dy.upf
Tm 168.93 Tm.upf
CELL_PARAMETERS angstrom
5.3843 0.0000 0.0000
2.6922 4.6629 0.0000
2.6922 1.5543 4.3963
ATOMIC_POSITIONS crystal
Zn 0.0000 0.0000 0.0000
Pr 0.2500 0.2500 0.2500
Dy 0.7500 0.7500 0.7500
Tm 0.5000 0.5000 0.5000

***

8.
! CoTcP | Alexandria via LeMat-Bulk | PBE-GGA | optimized geometry; values from VASP
! * space group: P3m1 (156)
! * E_form: -0.06 eV/atom
! * ΔE to the lowest computed polymorph: 403.0 meV per atom
&SYSTEM
  ibrav = 0, nat = 3, ntyp = 3
/
ATOMIC_SPECIES
Tc 98.00 Tc.upf
Co 58.93 Co.upf
P 30.97 P.upf
CELL_PARAMETERS angstrom
-0.2726 2.7278 0.3649
-1.4133 -1.7573 1.6009
4.2815 -0.0679 3.7055
ATOMIC_POSITIONS crystal
Tc 0.3333 0.6667 0.6498
Co 0.0000 0.0000 0.0279
P 0.6667 0.3333 0.3223

***

Number 1: total magnetization 0.0 μB per formula unit, raw total energy -0.191 Ha/atom. Number 2: total magnetization 0.0 μB per formula unit, raw total energy -0.206 Ha/atom. Number 3: total magnetization 5.0 μB per formula unit, raw total energy -0.154 Ha/atom. Number 4: total magnetization 0.0 μB per formula unit, raw total energy -0.092 Ha/atom. Number 5: total magnetization 0.0 μB per formula unit, raw total energy -0.180 Ha/atom. Number 6: total magnetization 1.3 μB per formula unit, raw total energy -0.182 Ha/atom. Number 7: total magnetization 0.0 μB per formula unit, raw total energy -0.138 Ha/atom. Number 8: total magnetization 0.7 μB per formula unit, raw total energy -0.283 Ha/atom.